Record 1
DFT (PBE-GGA) results for ErZr2Ga after structural relaxation.

It has space group P4/mmm (No. 123), with a = 3.2305 Å, b = 3.2305 Å, c = 8.6916 Å, α = 90.00°, β = 90.00° and γ = 90.00°. The inequivalent atoms are Er at (0.0000, 0.0000, 0.0000), Zr at (0.5000, 0.5000, 0.2851) and Ga at (0.0000, 0.0000, 0.5000).

The calculation puts the total moment at 0.0 Bohr magnetons per cell. As for the density of states at the Fermi level: 4.93 states/eV per cell. Its crystal system is tetragonal. Its electronic total energy is -25.41 eV per formula unit. The excess energy over the best structure of this formula in the dataset comes out at 12.2 kJ per mole of atoms. As for the formation energy: -17.5 kJ per mole of atoms.


Record 2
DFT (PBE-GGA) results for ScHgF5 after structural relaxation.

It has space group C2/c (No. 15), with a = 9.2983 Å, b = 6.9833 Å, c = 8.1050 Å, α = 90.00°, β = 115.74° and γ = 90.00°. The inequivalent atoms are Sc at (0.0000, 0.0000, 0.0000), Hg at (0.0000, 0.4958, 0.2500), F at (0.0000, 0.0071, 0.2500), F at (0.0030, 0.2917, 0.9979) and F at (0.2417, 0.0051, 0.6202).

The calculation puts the total moment at 0.0 Bohr magnetons per cell. As for the density of states at the Fermi level: 0.00 states/eV per cell. Its crystal system is monoclinic. Its electronic total energy is -35.98 eV per formula unit. The value obtained for the formation energy (no corrections) is -20.0 eV/f.u.


What is the electronic total energy in the second record? -35.98 eV per formula unit


What did the second record say?
DFT (PBE-GGA) results for ScHgF5 after structural relaxation.

It has space group C2/c (No. 15), with a = 9.2983 Å, b = 6.9833 Å, c = 8.1050 Å, α = 90.00°, β = 115.74° and γ = 90.00°. The inequivalent atoms are Sc at (0.0000, 0.0000, 0.0000), Hg at (0.0000, 0.4958, 0.2500), F at (0.0000, 0.0071, 0.2500), F at (0.0030, 0.2917, 0.9979) and F at (0.2417, 0.0051, 0.6202).

The calculation puts the total moment at 0.0 Bohr magnetons per cell. As for the density of states at the Fermi level: 0.00 states/eV per cell. Its crystal system is monoclinic. Its electronic total energy is -35.98 eV per formula unit. The value obtained for the formation energy (no corrections) is -20.0 eV/f.u.


What is the total moment in the second record? 0.0 Bohr magnetons per cell